Record 1
Compound: CaTlH3
Source: Alexandria via LeMat-Bulk
Functional: PBE
Structure: optimized geometry

Summary:
Energy relative to the lowest polymorph listed for this composition   0 meV/atom
D(E_F)   0.000 states/eV/atom
Density   4.9 g cm⁻³
SG   Pm-3m, No. 221

```
5
Lattice="4.3640 0.0000 0.0000 0.0000 4.3640 0.0000 0.0000 0.0000 4.3640" Properties=species:S:1:pos:R:3 pbc="T T T"
H 0.0000 2.1820 0.0000
H 0.0000 0.0000 2.1820
H 2.1820 0.0000 0.0000
Tl 2.1820 2.1820 2.1820
Ca 0.0000 0.0000 0.0000
```

***

Record 2
Compound: MnHRh3
Source: Alexandria via LeMat-Bulk
Functional: PBE
Structure: optimized geometry

Summary:
Energy relative to the lowest polymorph listed for this composition   1630 meV/atom
D(E_F)   1.144 states/eV/atom
Density   7.0 g cm⁻³
SG   Pm-3m, No. 221

```
5
Lattice="4.4320 0.0000 0.0000 0.0000 4.4320 0.0000 0.0000 0.0000 4.4320" Properties=species:S:1:pos:R:3 pbc="T T T"
H 2.2160 2.2160 2.2160
Mn 0.0000 0.0000 0.0000
Rh 0.0000 2.2160 0.0000
Rh 0.0000 0.0000 2.2160
Rh 2.2160 0.0000 0.0000
```

***

Record 3
Compound: Y7Cd2Ru2
Source: Alexandria via LeMat-Bulk
Functional: PBE
Structure: optimized geometry

Summary:
D(E_F)   0.866 states/eV/atom
Density   5.6 g cm⁻³
Formation enthalpy at 0 K   -0.188 eV/atom
SG   Cmmm, No. 65

```
11
Lattice="6.7208 -0.0027 -0.8457 0.0033 7.1858 0.0031 -1.2628 -0.0023 6.6550" Properties=species:S:1:pos:R:3 pbc="T T T"
Y -0.6305 1.8040 3.3283
Y 3.3629 5.3793 -0.4205
Y 6.0918 5.3768 2.4841
Y 2.0984 1.8016 6.2329
Y 0.0000 0.0000 0.0000
Y 2.7315 5.4491 2.9070
Y 2.7298 1.7317 2.9054
Cd 4.4982 3.5888 4.7875
Cd 0.9631 3.5920 1.0248
Ru 4.3791 -0.0026 1.3543
Ru 1.0788 -0.0024 4.4550
```

***

Record 4
Compound: MgTlOs2
Source: Alexandria via LeMat-Bulk
Functional: PBE
Structure: optimized geometry

Summary:
D(E_F)   1.561 states/eV/atom
Density   14.7 g cm⁻³
Formation enthalpy at 0 K   0.918 eV/atom
SG   P4/mmm, No. 123

```
4
Lattice="-1.5340 -1.0270 -2.1507 -0.9994 -2.0448 1.6893 -6.5394 5.0551 2.2504" Properties=species:S:1:pos:R:3 pbc="T T T"
Mg -6.1712 2.2554 1.4571
Os -6.4554 4.9902 2.2215
Os -3.3536 2.5925 1.1541
Tl -2.9015 -0.2721 0.3319
```

***

Record 5
Compound: ZnCr2Si
Source: Alexandria via LeMat-Bulk
Functional: PBE
Structure: optimized geometry

Summary:
D(E_F)   0.738 states/eV/atom
Density   6.7 g cm⁻³
SG   Pm, No. 6
Uncorrected formation energy   64 meV/atom

```
4
Lattice="-1.6662 -3.7692 -0.4374 1.5724 -0.4683 -1.9544 3.3926 -1.8015 2.6011" Properties=species:S:1:pos:R:3 pbc="T T T"
Cr 3.4481 -1.8107 2.4686
Cr 0.3668 -2.4496 0.0794
Si 2.5763 -1.1453 0.0554
Zn 2.7828 -3.5699 0.5303
```

***

Record 6
Compound: Ag2W2Se
Source: Alexandria via LeMat-Bulk
Functional: PBE
Structure: optimized geometry

Summary:
Energy relative to the lowest polymorph listed for this composition   178 meV/atom
D(E_F)   1.038 states/eV/atom
Density   11.3 g cm⁻³
SG   P4/mbm, No. 127
Uncorrected formation energy   1016 meV/atom

```
10
Lattice="8.3929 0.0000 0.0000 0.0000 8.3929 0.0000 0.0000 0.0000 2.7630" Properties=species:S:1:pos:R:3 pbc="T T T"
Se 0.0000 0.0000 0.0000
Se 4.1965 4.1965 0.0000
Ag 2.6137 6.8102 0.0000
Ag 6.8102 5.7792 0.0000
Ag 5.7792 1.5828 0.0000
Ag 1.5828 2.6137 0.0000
W 0.8527 5.0491 1.3815
W 5.0491 7.5403 1.3815
W 7.5403 3.3438 1.3815
W 3.3438 0.8527 1.3815
```

***

Record 7
Compound: TlCoIr
Source: Alexandria via LeMat-Bulk
Functional: PBE
Structure: optimized geometry

Summary:
Energy relative to the lowest polymorph listed for this composition   39 meV/atom
D(E_F)   1.103 states/eV/atom
Density   15.2 g cm⁻³
Formation enthalpy at 0 K   0.512 eV/atom
SG   Imm2, No. 44

```
3
Lattice="5.3372 0.0416 -0.0129 3.3266 4.1739 0.0129 -4.1188 -2.5457 2.2456" Properties=species:S:1:pos:R:3 pbc="T T T"
Co 8.4551 4.1139 0.0000
Ir 3.1129 1.5146 0.0000
Tl 5.7596 2.8024 0.0000
```

***

Record 8
Compound: WBr3
Source: Alexandria via LeMat-Bulk
Functional: PBE
Structure: optimized geometry

Summary:
Energy relative to the lowest polymorph listed for this composition   92 meV/atom
D(E_F)   1.195 states/eV/atom
Density   5.3 g cm⁻³
SG   Imm2, No. 44
Uncorrected formation energy   -3 meV/atom

```
4
Lattice="6.9048 -0.0194 0.0589 2.6445 6.3783 -0.0589 -3.4675 -5.1423 3.0352" Properties=species:S:1:pos:R:3 pbc="T T T"
Br -0.3556 -2.5955 2.8381
Br 2.5319 -0.6727 2.8381
Br -0.4030 0.6052 1.4958
W 1.0023 -1.5051 0.9022
```

***

Record 9
Compound: PmThGeOs
Source: Alexandria via LeMat-Bulk
Functional: PBE
Structure: optimized geometry

Summary:
Energy relative to the lowest polymorph listed for this composition   363 meV/atom
D(E_F)   0.965 states/eV/atom
Density   11.3 g cm⁻³
Formation enthalpy at 0 K   -0.214 eV/atom
SG   F-43m, No. 216

```
4
Lattice="5.1045 0.0000 0.0000 2.5522 4.4206 0.0000 2.5522 1.4735 4.1678" Properties=species:S:1:pos:R:3 pbc="T T T"
Ge 7.6567 4.4206 3.1259
Os 2.5522 1.4735 1.0420
Th 0.0000 0.0000 0.0000
Pm 5.1045 2.9471 2.0839
```

***

Record 10
Compound: Ho4Tm4Al
Source: Alexandria via LeMat-Bulk
Functional: PBE
Structure: optimized geometry

Summary:
D(E_F)   1.466 states/eV/atom
Density   8.7 g cm⁻³
Formation enthalpy at 0 K   -0.031 eV/atom
SG   I4/mmm, No. 139

```
9
Lattice="-1.3589 4.5509 -0.5930 -7.1524 0.7519 2.8443 2.1181 3.9692 6.2906" Properties=species:S:1:pos:R:3 pbc="T T T"
Ho -5.7651 3.5139 1.5452
Ho -0.6281 5.7581 6.9967
Ho -6.6067 6.4558 6.7352
Ho 0.2136 2.8162 1.8067
Tm -2.5828 4.6077 2.6477
Tm -3.8103 4.6643 5.8942
Tm -4.0641 1.8236 3.9919
Tm -2.3291 7.4484 4.5500
Al 0.0000 0.0000 0.0000
```

***

Record 11
Compound: NbTeAu
Source: Alexandria via LeMat-Bulk
Functional: PBE
Structure: optimized geometry

Summary:
D(E_F)   0.929 states/eV/atom
Density   10.0 g cm⁻³
SG   P-3m1, No. 164
Uncorrected formation energy   -23 meV/atom

```
12
Lattice="3.5467 0.0000 0.0000 -1.7733 3.0715 0.0000 0.0000 0.0000 25.4730" Properties=species:S:1:pos:R:3 pbc="T T T"
Au 1.7733 1.0238 1.0307
Au 0.0000 2.0477 24.4423
Au 0.0000 2.0477 20.6982
Au 1.7733 1.0238 4.7747
Nb 1.7733 1.0238 9.1007
Nb 1.7733 1.0238 22.5887
Nb 0.0000 2.0477 2.8843
Nb 0.0000 2.0477 16.3722
Te 1.7733 1.0238 14.4806
Te 0.0000 2.0477 10.9923
Te 0.0000 2.0477 7.1912
Te 1.7733 1.0238 18.2817
```

***

Record 12
Compound: ScMo2P
Source: Alexandria via LeMat-Bulk
Functional: PBE
Structure: optimized geometry

Summary:
D(E_F)   0.761 states/eV/atom
Density   6.7 g cm⁻³
Formation enthalpy at 0 K   -0.062 eV/atom
SG   P2/m, No. 10

```
4
Lattice="4.5588 0.0000 0.0000 0.0000 3.1416 -0.0139 0.0000 0.4104 4.6384" Properties=species:S:1:pos:R:3 pbc="T T T"
Sc 2.2794 0.2052 2.3192
Mo 0.0000 1.3771 3.4939
Mo 0.0000 2.1749 1.1306
P 2.2794 1.5708 -0.0069
```

***

The calculation returns the following magnetic moment values, one per record and in order: 0.00; 0.93; 0.00; 0.01; 0.00; 0.00; 2.36; 1.77; 0.00; 0.00; 0.00; 0.00 μB per cell.